Record 1
A relaxed ZrCuIr2F crystal. Source: Alexandria via LeMat-Bulk, functional PBE. Values from VASP.

Quantum ESPRESSO input file:
```
&SYSTEM
  ibrav = 0, nat = 5, ntyp = 4
/
ATOMIC_SPECIES
Ir 192.22 Ir.upf
Zr 91.22 Zr.upf
F 19.00 F.upf
Cu 63.55 Cu.upf
CELL_PARAMETERS angstrom
4.973 0.000 0.000
0.000 4.006 0.000
0.000 0.000 4.973
ATOMIC_POSITIONS crystal
Ir 0.000 0.000 0.500
Ir 0.500 0.000 0.000
Zr 0.000 0.000 0.000
F 0.000 0.500 0.000
Cu 0.500 0.500 0.500
```

## Properties
- formation energy without anion corrections (eV per atom) = 0.3207
- SG = P4/mmm


Record 2
A relaxed KCu3F8 crystal. Source: Alexandria via LeMat-Bulk, functional PBE. Values from VASP.

Quantum ESPRESSO input file:
```
&SYSTEM
  ibrav = 0, nat = 12, ntyp = 3
/
ATOMIC_SPECIES
F 19.00 F.upf
K 39.10 K.upf
Cu 63.55 Cu.upf
CELL_PARAMETERS angstrom
-6.835 -0.518 -0.690
3.219 -3.874 5.410
-0.321 5.057 -0.620
ATOMIC_POSITIONS crystal
F 0.603 0.811 0.058
F 0.397 0.189 0.942
F 0.836 0.672 0.249
F 0.665 0.331 0.525
F 0.335 0.669 0.475
F 0.164 0.328 0.751
F 0.792 0.189 0.942
F 0.208 0.811 0.058
K 0.000 0.000 0.000
Cu 0.000 0.500 0.000
Cu 0.500 0.000 0.000
Cu 0.500 0.500 0.000
```

## Properties
- formation energy without anion corrections (eV per atom) = -1.7234
- offset from the most stable computed form (kJ/mol of atoms) = 0.0
- SG = C2/m


Record 3
A relaxed K2CuF crystal. Source: Alexandria via LeMat-Bulk, functional PBE. Values from VASP.

Quantum ESPRESSO input file:
```
&SYSTEM
  ibrav = 0, nat = 4, ntyp = 3
/
ATOMIC_SPECIES
K 39.10 K.upf
F 19.00 F.upf
Cu 63.55 Cu.upf
CELL_PARAMETERS angstrom
0.000 3.716 3.716
3.716 0.000 3.716
3.716 3.716 0.000
ATOMIC_POSITIONS crystal
K 0.750 0.750 0.750
K 0.250 0.250 0.250
F 0.000 0.000 0.000
Cu 0.500 0.500 0.500
```

## Properties
- formation energy without anion corrections (eV per atom) = -0.8493
- offset from the most stable computed form (kJ/mol of atoms) = 18.3
- SG = Fm-3m


Record 4
A relaxed KCu2F7 crystal. Source: Alexandria via LeMat-Bulk, functional PBE. Values from VASP.

Quantum ESPRESSO input file:
```
&SYSTEM
  ibrav = 0, nat = 10, ntyp = 3
/
ATOMIC_SPECIES
Cu 63.55 Cu.upf
F 19.00 F.upf
K 39.10 K.upf
CELL_PARAMETERS angstrom
-1.761 -0.819 -3.261
5.365 -3.384 -2.048
-5.156 -2.493 3.410
ATOMIC_POSITIONS crystal
Cu 0.500 0.337 0.663
Cu 0.500 0.663 0.337
F 0.500 0.500 0.500
F 0.500 0.047 0.347
F 0.000 0.328 0.672
F 0.500 0.347 0.047
F 0.500 0.953 0.653
F 0.500 0.653 0.953
F 0.000 0.672 0.328
K 0.000 0.000 0.000
```

## Properties
- formation energy without anion corrections (eV per atom) = -1.6282
- SG = Cmmm


Record 5
A relaxed K3Cu4F12 crystal. Source: Alexandria via LeMat-Bulk, functional PBE. Values from VASP.

Quantum ESPRESSO input file:
```
&SYSTEM
  ibrav = 0, nat = 19, ntyp = 3
/
ATOMIC_SPECIES
F 19.00 F.upf
K 39.10 K.upf
Cu 63.55 Cu.upf
CELL_PARAMETERS angstrom
6.533 0.000 -2.310
-3.266 5.657 -2.310
0.000 0.000 6.929
ATOMIC_POSITIONS crystal
F 0.508 0.254 0.254
F 0.000 0.254 0.746
F 0.254 0.254 0.508
F 0.492 0.746 0.746
F 0.746 0.000 0.254
F 0.746 0.492 0.746
F 0.254 0.508 0.254
F 0.254 0.000 0.746
F 0.746 0.746 0.492
F 0.746 0.254 0.000
F 0.254 0.746 0.000
F 0.000 0.746 0.254
K 0.500 0.000 0.500
K 0.000 0.500 0.500
K 0.500 0.500 0.000
Cu 0.000 0.000 0.500
Cu 0.000 0.500 0.000
Cu 0.500 0.000 0.000
Cu 0.500 0.500 0.500
```

## Properties
- formation energy without anion corrections (eV per atom) = -1.9792
- SG = Im-3m


Record 6
A relaxed K4CuF5 crystal. Source: Alexandria via LeMat-Bulk, functional PBE. Values from VASP.

Quantum ESPRESSO input file:
```
&SYSTEM
  ibrav = 0, nat = 10, ntyp = 3
/
ATOMIC_SPECIES
K 39.10 K.upf
F 19.00 F.upf
Cu 63.55 Cu.upf
CELL_PARAMETERS angstrom
-4.322 -1.167 -3.055
-2.504 -5.802 0.951
-5.636 1.586 2.560
ATOMIC_POSITIONS crystal
K 0.605 0.607 0.195
K 0.801 0.805 0.607
K 0.408 0.393 0.805
K 0.212 0.195 0.393
F 0.915 0.359 0.814
F 0.274 0.814 0.641
F 0.439 0.000 0.000
F 0.729 0.186 0.359
F 0.088 0.641 0.186
Cu 0.040 0.000 0.000
```

## Properties
- formation energy without anion corrections (eV per atom) = -2.3073
- SG = I4


Record 7
A relaxed KCuF2 crystal. Source: Alexandria via LeMat-Bulk, functional PBE. Values from VASP.

Quantum ESPRESSO input file:
```
&SYSTEM
  ibrav = 0, nat = 4, ntyp = 3
/
ATOMIC_SPECIES
K 39.10 K.upf
F 19.00 F.upf
Cu 63.55 Cu.upf
CELL_PARAMETERS angstrom
-5.929 3.186 1.095
-3.245 5.214 2.964
-3.703 5.666 -0.830
ATOMIC_POSITIONS crystal
K 0.500 0.500 0.500
F 0.094 0.094 0.094
F 0.906 0.906 0.906
Cu 0.000 0.000 0.000
```

## Properties
- formation energy without anion corrections (eV per atom) = -1.9413
- offset from the most stable computed form (kJ/mol of atoms) = 0.0
- SG = R-3m


Record 8
A relaxed K2CuF7 crystal. Source: Alexandria via LeMat-Bulk, functional PBE. Values from VASP.

Quantum ESPRESSO input file:
```
&SYSTEM
  ibrav = 0, nat = 20, ntyp = 3
/
ATOMIC_SPECIES
F 19.00 F.upf
K 39.10 K.upf
Cu 63.55 Cu.upf
CELL_PARAMETERS angstrom
-1.282 -2.212 7.602
3.067 2.426 7.002
-3.918 4.652 7.576
ATOMIC_POSITIONS crystal
F 0.184 0.000 0.490
F 0.000 0.184 0.990
F 0.000 0.816 0.010
F 0.390 0.610 0.750
F 0.787 0.364 0.579
F 0.221 0.092 0.667
F 0.816 0.000 0.510
F 0.092 0.221 0.167
F 0.779 0.908 0.333
F 0.908 0.779 0.833
F 0.636 0.213 0.921
F 0.213 0.636 0.421
F 0.610 0.390 0.250
F 0.364 0.787 0.079
K 0.752 0.585 0.741
K 0.585 0.752 0.241
K 0.415 0.248 0.759
K 0.248 0.415 0.259
Cu 0.082 0.918 0.750
Cu 0.918 0.082 0.250
```

## Properties
- formation energy without anion corrections (eV per atom) = -1.6569
- offset from the most stable computed form (kJ/mol of atoms) = 8.7
- SG = C2/c